# Ca2Si2Pd5Au, relaxed, DFT GGA-PBE
data_Ca2Si2Pd5Au
_chemical_formula_sum 'Ca4 Si4 Pd10 Au2'
_space_group_name_H-M_alt 'P 4/m b m'
_space_group_IT_number 127
_space_group_name_Hall '-P 4 2ab'
_cell_length_a 10.059
_cell_length_b 10.059
_cell_length_c 3.498
_cell_angle_alpha 90.00
_cell_angle_beta 90.00
_cell_angle_gamma 90.00
loop_
_atom_site_label
_atom_site_fract_x
_atom_site_fract_y
_atom_site_fract_z
Ca1 0.176 0.324 0.000
Si1 0.124 0.624 0.000
Pd1 0.000 0.500 0.500
Pd2 0.066 0.787 0.500
Au1 0.000 0.000 0.000
# D(E_F): 0.318 states/eV per atom
# Final energy: -5.089 eV per atom
# Calculated volume: 177.0 Å³/f.u.
# Theoretical density: 8.12 g/cm³
# Total magnetization: 0.00 μB/atom
# Crystal system: tetragonal



# MgAg2F, relaxed, DFT GGA-PBE
data_MgAg2F
_chemical_formula_sum 'Mg4 Ag8 F4'
_space_group_name_H-M_alt 'I -4 2 d'
_space_group_IT_number 122
_space_group_name_Hall 'I -4 2bw'
_cell_length_a 8.690
_cell_length_b 8.690
_cell_length_c 3.975
_cell_angle_alpha 90.00
_cell_angle_beta 90.00
_cell_angle_gamma 90.00
loop_
_atom_site_label
_atom_site_fract_x
_atom_site_fract_y
_atom_site_fract_z
Mg1 0.000 0.000 0.000
Ag1 0.149 0.250 0.625
F1 0.000 0.000 0.500
# D(E_F): 0.284 states/eV per atom
# E above lowest polymorph: 0.000 eV/f.u.
# Calculated volume: 75.1 Å³/f.u.
# Theoretical density: 5.73 g/cm³
# Total magnetization: 0.00 μB/atom
# Crystal system: tetragonal



- Which of these has the highest calculated volume?
  Ca2Si2Pd5Au



- Which of these has the lowest theoretical density?
  MgAg2F



- The lowest calculated volume belongs to which entry?
  MgAg2F